[1]
This record from the Open Quantum Materials Database describes crystalline Zr2AgPb at its relaxed geometry. The functional is GGA-PBE.

Computed properties:
Total DFT energy (no corrections)   -5.604 eV/atom
Crystal system   cubic

Lattice parameters (Å, degrees): 7.167 7.167 7.167 90.00 90.00 90.00
Space group F-43m (No. 216)
Symmetry-distinct sites (fractional):
Zr1 0.000 0.000 0.000 x4
Zr2 0.250 0.250 0.250 x4
Ag1 0.250 0.250 0.750 x4
Pb1 0.000 0.000 0.500 x4


[2]
This record from the Open Quantum Materials Database describes crystalline TlNiAuS3 at its relaxed geometry. The functional is GGA-PBE.

Computed properties:
Total DFT energy (no corrections)   -4.033 eV/atom
Crystal system   orthorhombic

Lattice parameters (Å, degrees): 3.537 13.272 10.232 90.00 90.00 90.00
Space group Cmcm (No. 63)
Symmetry-distinct sites (fractional):
Tl1 0.000 0.194 0.250 x4
Ni1 0.000 0.500 0.000 x4
Au1 0.000 0.130 0.750 x4
S1 0.000 0.109 0.519 x8
S2 0.000 0.471 0.750 x4


[3]
This record from the Open Quantum Materials Database describes crystalline SrReN3 at its relaxed geometry. The functional is GGA-PBE.

Computed properties:
Total DFT energy (no corrections)   -8.307 eV/atom
Crystal system   monoclinic

Lattice parameters (Å, degrees): 10.940 10.417 6.261 90.00 107.51 90.00
Space group C2/c (No. 15)
Symmetry-distinct sites (fractional):
Sr1 0.000 0.090 0.250 x4
Sr2 0.000 0.315 0.750 x4
Re1 0.210 0.414 0.246 x8
N1 0.121 0.110 0.666 x8
N2 0.137 0.264 0.166 x8
N3 0.153 0.485 0.485 x8